(1)
A plane-wave DFT calculation with PBE was carried out for a geometry-optimized Cs2Cd4AgAu3 structure.

magnetic moment	0.0000	μB/atom
total DFT energy (no corrections)	-19.6	eV per cell
N(E_F)	3.9	states/eV/f.u.
calculated volume	29.24	A^3/atom

a = 5.090 Å, b = 5.090 Å, c = 11.284 Å
α = 90.00°, β = 90.00°, γ = 90.00°
Atoms (fractional coordinates):
1 Cd 0.000 0.000 0.000
2 Cs 0.000 0.500 0.746
3 Ag 0.500 0.500 0.500
4 Au 0.000 0.000 0.500
5 Au 0.000 0.500 0.124
6 Cs 0.500 0.000 0.254
7 Cd 0.500 0.500 0.000
8 Au 0.500 0.000 0.876
9 Cd 0.000 0.500 0.379
10 Cd 0.500 0.000 0.621

---

(2)
A plane-wave DFT calculation with PBE was carried out for a geometry-optimized Cs2Cd4AgAu2 structure.

magnetic moment	0.0000	μB/atom
total DFT energy (no corrections)	-15.8	eV per cell
N(E_F)	3.7	states/eV/f.u.
calculated volume	31.22	A^3/atom

a = 6.878 Å, b = 7.607 Å, c = 7.607 Å
α = 45.61°, β = 98.12°, γ = 98.12°
Atoms (fractional coordinates):
1 Au 0.056 0.245 0.245
2 Cd 0.864 0.322 0.830
3 Cs 0.615 0.334 0.334
4 Cd 0.136 0.678 0.170
5 Cs 0.385 0.666 0.666
6 Cd 0.864 0.830 0.322
7 Au 0.944 0.755 0.755
8 Cd 0.136 0.170 0.678
9 Ag 0.500 0.000 0.000

---

(3)
A plane-wave DFT calculation with PBE was carried out for a geometry-optimized Cs2Cd2Ag2Au structure.

magnetic moment	0.0000	μB/atom
total DFT energy (no corrections)	-12.9	eV per cell
N(E_F)	2.3	states/eV/f.u.
calculated volume	34.84	A^3/atom

a = 5.181 Å, b = 7.934 Å, c = 6.792 Å
α = 83.76°, β = 67.58°, γ = 70.94°
Atoms (fractional coordinates):
1 Au 0.000 0.000 0.000
2 Cd 0.850 0.579 0.721
3 Ag 0.772 0.364 0.092
4 Ag 0.228 0.636 0.908
5 Cd 0.150 0.421 0.279
6 Cs 0.574 0.172 0.680
7 Cs 0.426 0.828 0.320

---

(4)
A plane-wave DFT calculation with PBE was carried out for a geometry-optimized CsCd2AgAu structure.

magnetic moment	0.0000	μB/atom
total DFT energy (no corrections)	-8.8	eV per cell
N(E_F)	1.6	states/eV/f.u.
calculated volume	32.92	A^3/atom

a = 5.446 Å, b = 5.446 Å, c = 5.550 Å
α = 90.00°, β = 90.00°, γ = 90.00°
Atoms (fractional coordinates):
1 Au 0.000 0.000 0.500
2 Cs 0.500 0.500 0.500
3 Ag 0.000 0.000 0.000
4 Cd 0.000 0.500 0.000
5 Cd 0.500 0.000 0.000

---

(5)
A plane-wave DFT calculation with PBE was carried out for a geometry-optimized CsCdAgAu2 structure.

magnetic moment	0.0000	μB/atom
total DFT energy (no corrections)	-9.8	eV per cell
N(E_F)	0.7	states/eV/f.u.
calculated volume	36.61	A^3/atom

a = 5.348 Å, b = 6.400 Å, c = 5.348 Å
α = 90.00°, β = 90.00°, γ = 90.00°
Atoms (fractional coordinates):
1 Au 0.000 0.000 0.500
2 Ag 0.000 0.000 0.000
3 Au 0.500 0.000 0.000
4 Cd 0.500 0.500 0.500
5 Cs 0.000 0.500 0.000

---

(6)
A plane-wave DFT calculation with PBE was carried out for a geometry-optimized CsCd4AgAu2 structure.

magnetic moment	0.0000	μB/atom
total DFT energy (no corrections)	-14.8	eV per cell
N(E_F)	3.2	states/eV/f.u.
calculated volume	27.26	A^3/atom

a = 4.751 Å, b = 4.751 Å, c = 11.486 Å
α = 78.06°, β = 78.06°, γ = 60.00°
Atoms (fractional coordinates):
1 Cd 0.864 0.864 0.408
2 Cd 0.586 0.586 0.242
3 Ag 0.500 0.500 0.500
4 Cs 0.000 0.000 0.000
5 Cd 0.414 0.414 0.758
6 Au 0.770 0.770 0.689
7 Au 0.230 0.230 0.311
8 Cd 0.136 0.136 0.592

---

(7)
A plane-wave DFT calculation with PBE was carried out for a geometry-optimized CsCd4Ag2Au structure.

magnetic moment	0.0000	μB/atom
total DFT energy (no corrections)	-13.8	eV per cell
N(E_F)	1.8	states/eV/f.u.
calculated volume	27.71	A^3/atom

a = 4.764 Å, b = 4.764 Å, c = 11.607 Å
α = 78.16°, β = 78.16°, γ = 60.00°
Atoms (fractional coordinates):
1 Ag 0.769 0.769 0.692
2 Cs 0.000 0.000 0.000
3 Cd 0.585 0.585 0.245
4 Ag 0.231 0.231 0.308
5 Cd 0.137 0.137 0.588
6 Cd 0.863 0.863 0.412
7 Au 0.500 0.500 0.500
8 Cd 0.415 0.415 0.755

---

(8)
A plane-wave DFT calculation with PBE was carried out for a geometry-optimized Cd3Cu2AgAu3 structure.

magnetic moment	0.0000	μB/atom
total DFT energy (no corrections)	-24.0	eV per cell
N(E_F)	4.3	states/eV/f.u.
calculated volume	17.66	A^3/atom

a = 2.950 Å, b = 7.888 Å, c = 7.888 Å
α = 120.00°, β = 90.00°, γ = 90.00°
Atoms (fractional coordinates):
1 Cu 0.500 0.333 0.667
2 Cd 0.500 0.689 0.000
3 Au 0.000 0.628 0.628
4 Cd 0.500 0.000 0.689
5 Cu 0.500 0.667 0.333
6 Au 0.000 0.372 0.000
7 Cd 0.500 0.311 0.311
8 Au 0.000 0.000 0.372
9 Ag 0.000 0.000 0.000